[1]
The following is a DFT calculation (PBE-GGA) of a relaxed structure of RbHoSiTe4.

abc: 7.148 7.611 10.074
angles: 90.00 108.69 90.00
Fractional positions:
Rb1 0.768 0.750 0.946
Rb2 0.232 0.250 0.054
Ho1 0.771 0.750 0.449
Ho2 0.229 0.250 0.551
Si1 0.218 0.750 0.334
Si2 0.782 0.250 0.666
Te1 0.020 0.507 0.705
Te2 0.980 0.007 0.295
Te3 0.980 0.493 0.295
Te4 0.020 0.993 0.705
Te5 0.417 0.750 0.170
Te6 0.583 0.250 0.830
Te7 0.440 0.750 0.584
Te8 0.560 0.250 0.416

The calculation puts the raw total energy at -4.156 eV/atom.


[2]
The following is a DFT calculation (PBE-GGA) of a relaxed structure of CaTlCr2.

abc: 3.715 3.715 6.748
angles: 90.00 90.00 90.00
Fractional positions:
Cr1 0.000 0.000 0.034
Cr2 0.000 0.000 0.466
Tl1 0.500 0.500 0.250
Ca1 0.500 0.500 0.750

The value obtained for the calculated formation energy is 645 meV/atom. The calculation puts the raw total energy at -5.259 eV/atom.


[3]
The following is a DFT calculation (PBE-GGA) of a relaxed structure of ReSb2RhI.

abc: 5.041 5.041 5.725
angles: 90.00 90.00 90.00
Fractional positions:
I1 0.000 0.000 0.500
Re1 0.000 0.000 0.000
Rh1 0.500 0.500 0.500
Sb1 0.000 0.500 0.000
Sb2 0.500 0.000 0.000

The calculation puts the raw total energy at -4.720 eV/atom.


[4]
The following is a DFT calculation (PBE-GGA) of a relaxed structure of CsVAs.

abc: 3.998 3.998 12.802
angles: 90.00 90.00 90.00
Fractional positions:
Cs1 0.000 0.500 0.787
Cs2 0.500 0.000 0.213
As1 0.000 0.500 0.380
As2 0.500 0.000 0.620
V1 0.000 0.000 0.500
V2 0.500 0.500 0.500

The value obtained for the calculated formation energy is -322 meV/atom. The calculation puts the raw total energy at -5.196 eV/atom.


[5]
The following is a DFT calculation (PBE-GGA) of a relaxed structure of KIn2Tc.

abc: 10.564 10.564 10.564
angles: 17.66 17.66 17.66
Fractional positions:
In1 0.015 0.015 0.015
In2 0.485 0.485 0.485
K1 0.250 0.250 0.250
Tc1 0.750 0.750 0.750

The value obtained for the calculated formation energy is 402 meV/atom. The calculation puts the raw total energy at -3.834 eV/atom.


[6]
The following is a DFT calculation (PBE-GGA) of a relaxed structure of Cd2AgPd.

abc: 3.063 3.063 9.396
angles: 80.62 80.62 60.00
Fractional positions:
Cd1 0.080 0.080 0.761
Cd2 0.254 0.254 0.239
Ag1 0.500 0.500 0.500
Pd1 0.667 0.667 0.000

The value obtained for the calculated formation energy is -151 meV/atom. The calculation puts the raw total energy at -2.620 eV/atom.


[7]
The following is a DFT calculation (PBE-GGA) of a relaxed structure of K2ScVB.

abc: 6.553 3.952 6.553
angles: 90.00 90.00 90.00
Fractional positions:
Sc1 0.500 0.500 0.500
K1 0.000 0.000 0.500
K2 0.500 0.000 0.000
B1 0.000 0.500 0.000
V1 0.000 0.000 0.000

The value obtained for the calculated formation energy is 1449 meV/atom. The calculation puts the raw total energy at -3.415 eV/atom.


[8]
The following is a DFT calculation (PBE-GGA) of a relaxed structure of Tb5Pm2Tm4.

abc: 6.616 6.616 9.224
angles: 75.30 75.30 67.06
Fractional positions:
Tb1 0.652 0.215 0.773
Tb2 0.348 0.785 0.227
Tb3 0.000 0.000 0.500
Tb4 0.215 0.652 0.773
Tb5 0.785 0.348 0.227
Pm1 0.146 0.146 0.877
Pm2 0.854 0.854 0.123
Tm1 0.315 0.315 0.498
Tm2 0.685 0.685 0.502
Tm3 0.668 0.668 0.878
Tm4 0.332 0.332 0.122

The value obtained for the calculated formation energy is 151 meV/atom. The calculation puts the raw total energy at -4.444 eV/atom.


[9]
The following is a DFT calculation (PBE-GGA) of a relaxed structure of Ti2CoCuH.

abc: 4.062 4.062 3.479
angles: 90.00 90.00 90.00
Fractional positions:
H1 0.000 0.000 0.000
Co1 0.500 0.500 0.500
Cu1 0.000 0.000 0.500
Ti1 0.000 0.500 0.000
Ti2 0.500 0.000 0.000

The calculation puts the raw total energy at -6.244 eV/atom.


[10]
The following is a DFT calculation (PBE-GGA) of a relaxed structure of Ac2InO.

abc: 5.923 5.984 7.689
angles: 90.00 112.56 90.00
Fractional positions:
Ac1 0.238 0.121 0.654
Ac2 0.038 0.621 0.254
Ac3 0.688 0.621 0.653
Ac4 0.488 0.121 0.253
In1 0.863 0.121 0.954
In2 0.363 0.621 0.954
O1 0.363 0.871 0.454
O2 0.363 0.371 0.454

The calculation puts the raw total energy at -5.583 eV/atom.


[11]
The following is a DFT calculation (PBE-GGA) of a relaxed structure of AgW.

abc: 4.502 15.520 8.251
angles: 90.00 90.00 90.00
Fractional positions:
Ag1 0.000 0.000 0.338
Ag2 0.000 0.000 0.662
Ag3 0.250 0.750 0.912
Ag4 0.250 0.750 0.588
Ag5 0.000 0.500 0.838
Ag6 0.000 0.500 0.162
Ag7 0.250 0.250 0.412
Ag8 0.250 0.250 0.088
Ag9 0.500 0.000 0.838
Ag10 0.500 0.000 0.162
Ag11 0.750 0.750 0.412
Ag12 0.750 0.750 0.088
Ag13 0.500 0.500 0.338
Ag14 0.500 0.500 0.662
Ag15 0.750 0.250 0.912
Ag16 0.750 0.250 0.588
W1 0.000 0.916 0.000
W2 0.000 0.084 0.000
W3 0.250 0.834 0.250
W4 0.250 0.666 0.250
W5 0.000 0.416 0.500
W6 0.000 0.584 0.500
W7 0.250 0.334 0.750
W8 0.250 0.166 0.750
W9 0.500 0.916 0.500
W10 0.500 0.084 0.500
W11 0.750 0.834 0.750
W12 0.750 0.666 0.750
W13 0.500 0.416 0.000
W14 0.500 0.584 0.000
W15 0.750 0.334 0.250
W16 0.750 0.166 0.250

The value obtained for the calculated formation energy is 1086 meV/atom. The calculation puts the raw total energy at -6.816 eV/atom.


[12]
The following is a DFT calculation (PBE-GGA) of a relaxed structure of CsScPbF6.

abc: 6.250 6.249 6.051
angles: 90.05 89.94 59.86
Fractional positions:
Cs1 0.000 0.000 0.000
Sc1 0.666 0.666 0.500
Pb1 0.334 0.334 0.500
F1 0.951 0.407 0.311
F2 0.407 0.952 0.689
F3 0.641 0.409 0.690
F4 0.950 0.642 0.690
F5 0.409 0.641 0.310
F6 0.642 0.950 0.310

The calculation puts the raw total energy at -5.653 eV/atom.